The following is a DFT calculation (GGA-PBE) of a relaxed BeCo2Si2 crystal.

CIF file:
```
data_BeCo2Si2
_cell_length_a 6.546
_cell_length_b 6.546
_cell_length_c 2.585
_cell_angle_alpha 90.00
_cell_angle_beta 90.00
_cell_angle_gamma 90.00
_space_group_name_H-M_alt 'P 4/m b m'
_space_group_IT_number 127
_space_group_name_Hall '-P 4 2ab'
loop_
_atom_site_label
_atom_site_type_symbol
_atom_site_fract_x
_atom_site_fract_y
_atom_site_fract_z
_atom_site_occupancy
Be1 Be 0.000 0.000 0.000 1
Co1 Co 0.151 0.349 0.500 1
Si1 Si 0.146 0.646 0.000 1
```

Output
Energy above the lowest structure with this stoichiometry (meV/atom): 3.5
Volume (A^3/atom): 11.1
Energy relative to the elements, uncorrected (kcal/mol of atoms): -6.02
DOS(E_F) (states/eV/f.u.): 2.62
M_tot (μB/atom): 0.00